No. 1
VASP calculation (PBE) on a relaxed MnCrRe crystal.

## Properties
Calculated formation energy: 1.1 kcal/mol of atoms
Polymorph energy (0 for the lowest one): 0.110 eV/atom

Lattice parameters (Å, degrees): 4.145 3.012 6.506 90.00 108.58 90.00
Site moments in Bohr magnetons follow the coordinates.
Fractional positions:
Mn 0.256 0.250 0.512  -1.96
Mn 0.744 0.750 0.488  -1.96
Cr 0.582 0.250 0.163  0.22
Cr 0.418 0.750 0.837  0.22
Re 0.910 0.250 0.820  0.05
Re 0.090 0.750 0.180  0.05

---

No. 2
VASP calculation (PBE) on a relaxed Mn2CrRe crystal.

## Properties
Calculated formation energy: 2.1 kcal/mol of atoms

Lattice parameters (Å, degrees): 4.949 4.786 2.569 80.74 78.00 117.47
Site moments in Bohr magnetons follow the coordinates.
Fractional positions:
Cr 0.500 0.500 0.000  -0.48
Mn 0.000 0.000 0.000  1.85
Mn 0.500 0.000 0.500  1.85
Re 0.000 0.500 0.500  -0.13

---

No. 3
VASP calculation (PBE) on a relaxed MnCrRe2 crystal.

## Properties
Calculated formation energy: 19.7 kcal/mol of atoms
Polymorph energy (0 for the lowest one): 0.777 eV/atom

Lattice parameters (Å, degrees): 6.719 6.719 5.389 51.43 51.43 90.00
Fractional positions:
Re 0.633 0.125 0.250
Re 0.117 0.625 0.250
Re 0.375 0.367 0.750
Re 0.875 0.883 0.750
Mn 0.000 0.000 0.000
Mn 0.750 0.250 0.500
Cr 0.500 0.500 0.000
Cr 0.250 0.750 0.500

---

No. 4
VASP calculation (PBE) on a relaxed MnCrRe2 crystal.

## Properties
Calculated formation energy: 3.9 kcal/mol of atoms
Polymorph energy (0 for the lowest one): 0.091 eV/atom

Lattice parameters (Å, degrees): 2.632 2.632 8.304 90.00 90.00 109.41
Site moments in Bohr magnetons follow the coordinates.
Fractional positions:
Cr 0.000 0.000 0.512  -0.41
Mn 0.500 0.500 0.738  1.99
Re 0.000 0.000 0.987  -0.08
Re 0.500 0.500 0.263  0.02

---

No. 5
VASP calculation (PBE) on a relaxed MnCrRe2 crystal.

## Properties
Calculated formation energy: 2.7 kcal/mol of atoms
Polymorph energy (0 for the lowest one): 0.038 eV/atom

Lattice parameters (Å, degrees): 4.919 4.919 4.919 143.60 128.22 64.93
Site moments in Bohr magnetons follow the coordinates.
Fractional positions:
Cr 0.750 0.250 0.500  0.07
Mn 0.250 0.750 0.500  2.52
Re 0.993 0.993 0.000  -0.07
Re 0.507 0.507 0.000  -0.07

---

No. 6
VASP calculation (PBE) on a relaxed Mn2CrRe crystal.

## Properties
Calculated formation energy: 3.1 kcal/mol of atoms

Lattice parameters (Å, degrees): 2.676 3.515 5.293 90.00 90.00 90.00
Site moments in Bohr magnetons follow the coordinates.
Fractional positions:
Cr 0.500 0.500 0.750  -0.87
Mn 0.000 0.000 0.991  1.45
Mn 0.000 0.000 0.509  1.45
Re 0.500 0.500 0.250  -0.22

---

No. 7
VASP calculation (PBE) on a relaxed MnCr4Re crystal.

## Properties
Calculated formation energy: 0.7 kcal/mol of atoms
Polymorph energy (0 for the lowest one): 0.000 eV/atom

Lattice parameters (Å, degrees): 9.211 9.211 9.211 154.52 154.51 36.35
Fractional positions:
Mn 0.500 0.500 0.000
Mn 0.000 0.000 0.000
Cr 0.658 0.658 0.000
Cr 0.842 0.842 0.000
Cr 0.342 0.342 0.000
Cr 0.158 0.158 0.000
Cr 0.081 0.581 0.500
Cr 0.419 0.919 0.500
Cr 0.919 0.419 0.500
Cr 0.581 0.081 0.500
Re 0.750 0.250 0.500
Re 0.250 0.750 0.500

---

No. 8
VASP calculation (PBE) on a relaxed Mn2CrRe crystal.

## Properties
Calculated formation energy: 1.7 kcal/mol of atoms

Lattice parameters (Å, degrees): 2.795 2.795 6.162 90.00 90.00 90.00
Fractional positions:
Cr 0.500 0.500 0.750
Mn 0.000 0.000 0.969
Mn 0.000 0.000 0.531
Re 0.500 0.500 0.250

---

No. 9
VASP calculation (PBE) on a relaxed Mn2Cr2Re crystal.

## Properties
Calculated formation energy: 4.8 kcal/mol of atoms

Lattice parameters (Å, degrees): 6.749 6.749 2.678 90.00 90.00 90.00
Site moments in Bohr magnetons follow the coordinates.
Fractional positions:
Re 0.000 0.000 0.000  0.01
Re 0.500 0.500 0.000  0.01
Mn 0.362 0.862 0.000  0.92
Mn 0.862 0.638 0.000  0.94
Mn 0.638 0.138 0.000  0.92
Mn 0.138 0.362 0.000  0.94
Cr 0.162 0.662 0.500  -0.65
Cr 0.662 0.838 0.500  -0.68
Cr 0.838 0.338 0.500  -0.65
Cr 0.338 0.162 0.500  -0.68

---

No. 10
VASP calculation (PBE) on a relaxed Mn2CrRe crystal.

## Properties
Calculated formation energy: 1.5 kcal/mol of atoms

Lattice parameters (Å, degrees): 2.987 4.122 4.075 90.00 90.00 90.00
Site moments in Bohr magnetons follow the coordinates.
Fractional positions:
Cr 0.000 0.500 0.500  -0.79
Mn 0.000 0.000 0.000  0.98
Mn 0.500 0.500 0.000  2.42
Re 0.500 0.000 0.500  0.04

---

No. 11
VASP calculation (PBE) on a relaxed MnCrRe2 crystal.

## Properties
Calculated formation energy: 5.0 kcal/mol of atoms
Polymorph energy (0 for the lowest one): 0.138 eV/atom

Lattice parameters (Å, degrees): 8.575 8.575 8.575 18.29 18.29 18.29
Site moments in Bohr magnetons follow the coordinates.
Fractional positions:
Cr 0.494 0.494 0.494  -0.55
Mn 0.756 0.756 0.756  1.41
Re 0.003 0.003 0.003  -0.07
Re 0.247 0.247 0.247  0.07

---

No. 12
VASP calculation (PBE) on a relaxed MnCrRe2 crystal.

## Properties
Calculated formation energy: 2.1 kcal/mol of atoms
Polymorph energy (0 for the lowest one): 0.011 eV/atom

Lattice parameters (Å, degrees): 4.240 4.240 4.240 60.00 60.00 60.00
Site moments in Bohr magnetons follow the coordinates.
Fractional positions:
Re 0.250 0.250 0.250  -0.11
Re 0.750 0.750 0.750  -0.11
Mn 0.500 0.500 0.500  2.36
Cr 0.000 0.000 0.000  0.55